(1)
{"formula": "CdIrSe2", "functional": "PBE-GGA", "state": "relaxed", "cell": [[-1.834, 2.297, 5.757], [1.834, -2.297, 5.757], [1.834, 2.297, -5.757]], "species": ["Cd", "Ir", "Se", "Se"], "frac_coords": [[0.000, 0.000, 0.000], [0.500, 0.500, 0.000], [0.354, 0.854, 0.500], [0.646, 0.146, 0.500]], "sg": "No. 71", "raw_formation_energy_ev_per_atom": -0.11}



(2)
{"formula": "Sr2ZnCu16", "functional": "PBE-GGA", "state": "relaxed", "cell": [[4.374, 2.525, 4.225], [-4.374, 2.525, 4.225], [0.000, -5.050, 4.225]], "species": ["Sr", "Sr", "Zn", "Cu", "Cu", "Cu", "Cu", "Cu", "Cu", "Cu", "Cu", "Cu", "Cu", "Cu", "Cu", "Cu", "Cu", "Cu", "Cu"], "frac_coords": [[0.000, 0.000, 0.000], [0.310, 0.310, 0.310], [0.561, 0.561, 0.561], [0.156, 0.657, 0.657], [0.317, 0.317, 0.806], [0.317, 0.806, 0.317], [0.368, 0.657, 0.946], [0.368, 0.946, 0.657], [0.508, 0.995, 0.995], [0.657, 0.156, 0.657], [0.657, 0.368, 0.946], [0.657, 0.657, 0.156], [0.657, 0.946, 0.368], [0.754, 0.754, 0.754], [0.806, 0.317, 0.317], [0.946, 0.368, 0.657], [0.946, 0.657, 0.368], [0.995, 0.508, 0.995], [0.995, 0.995, 0.508]], "formation_enthalpy_0k_kj_per_mol_atoms": -5.2, "sg": "No. 160"}



(3)
{"formula": "CdCo2Ni", "functional": "PBE-GGA", "state": "relaxed", "cell": [[2.625, 0.000, 0.000], [0.000, 4.150, 0.000], [-1.000, 0.000, 4.920]], "species": ["Cd", "Co", "Co", "Ni"], "frac_coords": [[0.000, 0.000, 0.000], [0.297, 0.500, 0.714], [0.703, 0.500, 0.286], [0.500, 0.000, 0.500]], "formation_enthalpy_0k_kj_per_mol_atoms": 30.4, "sg": "No. 10"}



(4)
{"formula": "NiPb2Se", "functional": "PBE-GGA", "state": "relaxed", "cell": [[-2.092, 2.092, 5.559], [2.092, -2.092, 5.559], [2.092, 2.092, -5.559]], "species": ["Ni", "Pb", "Pb", "Se"], "frac_coords": [[0.000, 0.000, 0.000], [0.250, 0.750, 0.500], [0.500, 0.500, 0.000], [0.750, 0.250, 0.500]], "sg": "No. 119", "raw_formation_energy_ev_per_atom": 0.25}



(5)
{"formula": "AcScAu", "functional": "PBE-GGA", "state": "relaxed", "cell": [[4.803, 0.000, 0.000], [0.000, 4.803, 0.000], [0.000, 0.000, 7.384]], "species": ["Ac", "Ac", "Sc", "Sc", "Au", "Au"], "frac_coords": [[0.250, 0.250, 0.128], [0.750, 0.750, 0.872], [0.250, 0.750, 0.500], [0.750, 0.250, 0.500], [0.250, 0.250, 0.702], [0.750, 0.750, 0.298]], "formation_enthalpy_0k_kj_per_mol_atoms": -57.7, "sg": "No. 129"}



(6)
{"formula": "PdRhSeN2", "functional": "PBE-GGA", "state": "relaxed", "cell": [[3.728, 0.000, 0.000], [0.000, 3.728, 0.000], [0.000, 0.000, 6.383]], "species": ["Pd", "Rh", "Se", "N", "N"], "frac_coords": [[0.000, 0.000, 0.000], [0.500, 0.500, 0.500], [0.000, 0.000, 0.500], [0.000, 0.500, 0.000], [0.500, 0.000, 0.000]], "sg": "No. 123", "raw_formation_energy_ev_per_atom": 1.59}



Number 1: VASP energy -4.2952 eV/atom. Number 2: VASP energy -3.7470 eV/atom. Number 3: VASP energy -4.9121 eV/atom. Number 4: VASP energy -3.9238 eV/atom. Number 5: VASP energy -5.1707 eV/atom. Number 6: VASP energy -4.9436 eV/atom.